Entry 1:
{
  "formula": "PIrRhS2",
  "functional": "GGA-PBE",
  "state": "optimized geometry",
  "lattice_angstrom": [[-1.852, -2.774, -3.176], [-2.849, -1.735, 3.176], [-2.951, 3.076, -0.967]],
  "species": ["Rh", "P", "S", "S", "Ir"],
  "frac_coords": [[0.000, 0.000, 0.000], [0.000, 0.000, 0.500], [0.000, 0.500, 0.000], [0.500, 0.000, 0.000], [0.500, 0.500, 0.500]],
  "e_form_raw_ev_per_atom": 1.1074,
  "m_tot_mub_per_cell": 0.00
}


Entry 2:
{
  "formula": "PIr2RhSe",
  "functional": "GGA-PBE",
  "state": "optimized geometry",
  "lattice_angstrom": [[-0.146, 4.466, 1.043], [-4.390, 0.143, -1.225], [-1.232, -1.044, 4.295]],
  "species": ["Ir", "Ir", "Se", "P", "Rh"],
  "frac_coords": [[0.500, 0.000, 0.000], [0.000, 0.000, 0.500], [0.000, 0.000, 0.000], [0.500, 0.500, 0.500], [0.000, 0.500, 0.000]],
  "e_form_raw_ev_per_atom": 1.2920,
  "m_tot_mub_per_cell": 0.02
}


Entry 3:
{
  "formula": "Si2PIrRh",
  "functional": "GGA-PBE",
  "state": "optimized geometry",
  "lattice_angstrom": [[4.508, 0.000, 0.000], [0.000, 4.492, 0.000], [0.000, 0.000, 4.508]],
  "species": ["Si", "Si", "P", "Ir", "Rh"],
  "frac_coords": [[0.000, 0.000, 0.500], [0.500, 0.000, 0.000], [0.000, 0.500, 0.000], [0.500, 0.500, 0.500], [0.000, 0.000, 0.000]],
  "e_form_raw_ev_per_atom": 0.8527,
  "m_tot_mub_per_cell": 0.00
}


Number 1: E -24.3 eV/f.u.. Number 2: E -27.5 eV/f.u.. Number 3: E -28.2 eV/f.u..